Entry from the Alexandria database: an optimized crystal structure of CaVIO2 (GGA+U).

Structure (POSCAR):
```
CaVIO2
1.0
4.138 0.000 0.000
0.000 4.138 0.000
0.000 0.000 5.321
Ca V I O
1 1 1 2
direct
0.000 0.000 0.000
0.500 0.500 0.500
0.500 0.500 0.000
0.000 0.500 0.500
0.500 0.000 0.500
```

## Properties
The symmetry is P4/mmm, No. 123.

Entry from the Alexandria database: an optimized crystal structure of CaVIO6 (GGA+U).

Structure (POSCAR):
```
CaVIO6
1.0
5.285 0.000 0.000
-2.642 4.577 0.000
0.000 0.000 10.061
Ca V I O
2 2 2 12
direct
0.000 0.000 0.000
0.000 0.000 0.500
0.333 0.667 0.250
0.667 0.333 0.750
0.333 0.667 0.750
0.667 0.333 0.250
0.022 0.378 0.143
0.022 0.643 0.357
0.357 0.378 0.357
0.357 0.978 0.143
0.378 0.022 0.643
0.378 0.357 0.857
0.622 0.643 0.143
0.622 0.978 0.357
0.643 0.022 0.857
0.643 0.622 0.643
0.978 0.357 0.643
0.978 0.622 0.857
```

## Properties
The symmetry is P-31c, No. 163.

Entry from the Alexandria database: an optimized crystal structure of CaWI2O (GGA+U).

Structure (POSCAR):
```
CaWI2O
1.0
6.092 0.000 0.000
0.000 6.092 0.000
0.000 0.000 3.965
Ca W I O
1 1 2 1
direct
0.000 0.000 0.000
0.500 0.500 0.500
0.000 0.500 0.500
0.500 0.000 0.500
0.500 0.500 0.000
```

## Properties
The symmetry is P4/mmm, No. 123.

Entry from the Alexandria database: an optimized crystal structure of CaWI2O (GGA+U).

Structure (POSCAR):
```
CaWI2O
1.0
6.134 0.000 0.000
0.000 6.134 0.000
0.000 0.000 4.154
Ca W I O
1 1 2 1
direct
0.000 0.000 0.000
0.500 0.500 0.500
0.000 0.500 0.000
0.500 0.000 0.000
0.000 0.000 0.500
```

## Properties
The symmetry is P4/mmm, No. 123.

no.,total moment (μB/atom),E_tot (eV per formula unit)
1,0.3967,-27.1
2,0.0000,-54.4
3,0.6332,-20.6
4,0.8877,-18.0